CsAg5Te3 | PBE-GGA | optimized geometry

a = 14.8770 Å, b = 14.8770 Å, c = 4.6399 Å
α = 90.00°, β = 90.00°, γ = 90.00°
Positions (direct):
Te  0.8827  0.3280  0.0000
Te  0.6008  0.3992  0.5000
Te  0.6720  0.1173  0.0000
Te  0.8992  0.8992  0.0000
Te  0.3992  0.6008  0.5000
Te  0.3280  0.8827  0.0000
Te  0.3827  0.1720  0.5000
Te  0.8280  0.6173  0.5000
Te  0.1720  0.3827  0.5000
Te  0.1008  0.1008  0.0000
Te  0.6173  0.8280  0.5000
Te  0.1173  0.6720  0.0000
Cs  0.3873  0.3873  0.0000
Cs  0.8873  0.1127  0.5000
Cs  0.1127  0.8873  0.5000
Cs  0.6127  0.6127  0.0000
Ag  0.2872  0.0794  0.0000
Ag  0.8219  0.8219  0.5000
Ag  0.9829  0.3963  0.5000
Ag  0.6037  0.0171  0.5000
Ag  0.6781  0.3219  0.0000
Ag  0.3219  0.6781  0.0000
Ag  0.1781  0.1781  0.5000
Ag  0.7872  0.4206  0.5000
Ag  0.0171  0.6037  0.5000
Ag  0.4829  0.1037  0.0000
Ag  0.3963  0.9829  0.5000
Ag  0.8963  0.5171  0.0000
Ag  0.9206  0.7128  0.0000
Ag  0.7128  0.9206  0.0000
Ag  0.5171  0.8963  0.0000
Ag  0.4206  0.7872  0.5000
Ag  0.5794  0.2128  0.5000
Ag  0.1037  0.4829  0.0000
Ag  0.2128  0.5794  0.5000
Ag  0.0794  0.2872  0.0000

Magnetization = 0.00 μB/f.u.
Space group = P4_2/mnm (136)
Uncorrected formation energy = -0.2931 eV per atom

LiAl2Ir | PBE-GGA | optimized geometry

a = 8.8814 Å, b = 8.8814 Å, c = 8.8814 Å
α = 18.79°, β = 18.79°, γ = 18.79°
Positions (direct):
Al  0.9919  0.9919  0.9919
Al  0.5081  0.5081  0.5081
Li  0.7500  0.7500  0.7500
Ir  0.2500  0.2500  0.2500

Calculated formation energy = -310 meV/atom
ΔE to the lowest computed polymorph = 1.67 eV/f.u.
Magnetization = 0.00 μB/f.u.
Space group = R-3m (166)

Rb4UC3O11 | PBE-GGA | optimized geometry

a = 7.3001 Å, b = 7.3001 Å, c = 12.7956 Å
α = 87.26°, β = 87.26°, γ = 81.57°
Positions (direct):
O  0.6156  0.4650  0.3271
O  0.6331  0.3669  0.7500
O  0.3844  0.5350  0.6729
O  0.9195  0.9576  0.6626
O  0.6507  0.0447  0.3187
O  0.9202  0.2809  0.4166
O  0.1711  0.2110  0.9679
O  0.0798  0.7191  0.5834
O  0.2809  0.9202  0.9166
O  0.0805  0.0424  0.3374
O  0.7191  0.0798  0.0834
O  0.9576  0.9195  0.1626
O  0.0447  0.6507  0.8187
O  0.4650  0.6156  0.8271
O  0.3493  0.9553  0.6813
O  0.0424  0.0805  0.8374
O  0.5350  0.3844  0.1729
O  0.3669  0.6331  0.2500
O  0.2110  0.1711  0.4679
O  0.8289  0.7890  0.0321
O  0.7890  0.8289  0.5321
O  0.9553  0.3493  0.1813
C  0.5004  0.4996  0.7500
C  0.0766  0.1643  0.4105
C  0.8357  0.9234  0.0895
C  0.4996  0.5004  0.2500
C  0.9234  0.8357  0.5895
C  0.1643  0.0766  0.9105
Rb  0.6597  0.9727  0.8430
Rb  0.7838  0.4296  0.9595
Rb  0.0273  0.3403  0.6570
Rb  0.5704  0.2162  0.5405
Rb  0.9727  0.6597  0.3430
Rb  0.3403  0.0273  0.1570
Rb  0.4296  0.7838  0.4595
Rb  0.2162  0.5704  0.0405
U  0.1964  0.8036  0.7500
U  0.8036  0.1964  0.2500

Magnetization = 0.15 μB/f.u.
Space group = C2/c (15)
Uncorrected formation energy = -2.0534 eV per atom

CrCoSb2As | PBE-GGA | optimized geometry

a = 5.4386 Å, b = 4.2675 Å, c = 5.4386 Å
α = 90.00°, β = 90.00°, γ = 90.00°
Positions (direct):
As  0.0000  0.0000  0.0000
Cr  0.5000  0.5000  0.5000
Sb  0.5000  0.0000  0.0000
Sb  0.0000  0.0000  0.5000
Co  0.0000  0.5000  0.0000

Magnetization = 5.21 μB/f.u.
Space group = P4/mmm (123)
Uncorrected formation energy = 0.8909 eV per atom

La3Pr5Sn2 | PBE-GGA | optimized geometry

a = 6.7102 Å, b = 10.8773 Å, c = 10.8773 Å
α = 93.59°, β = 72.03°, γ = 72.03°
Positions (direct):
La  0.7500  0.0000  0.0000
La  0.6306  0.6439  0.0949
La  0.1306  0.0949  0.6439
La  0.3694  0.3561  0.9051
La  0.2500  0.0000  0.0000
La  0.8694  0.9051  0.3561
Pr  0.2500  0.5000  0.5000
Pr  0.9993  0.2507  0.2507
Pr  0.5007  0.7493  0.7493
Pr  0.7500  0.5000  0.5000
Pr  0.4090  0.7525  0.4295
Pr  0.0007  0.7493  0.7493
Pr  0.9090  0.4295  0.7525
Pr  0.4993  0.2507  0.2507
Pr  0.0910  0.5705  0.2475
Pr  0.5910  0.2475  0.5705
Sn  0.3637  0.9873  0.2852
Sn  0.1363  0.7148  0.0127
Sn  0.6363  0.0127  0.7148
Sn  0.8637  0.2852  0.9873

Calculated formation energy = -135 meV/atom
Magnetization = 0.00 μB/f.u.
Space group = Ibam (72)

CdReNi2Sn | PBE-GGA | optimized geometry

a = 4.6173 Å, b = 5.1337 Å, c = 4.6173 Å
α = 90.00°, β = 90.00°, γ = 90.00°
Positions (direct):
Cd  0.5000  0.5000  0.5000
Ni  0.0000  0.0000  0.5000
Ni  0.5000  0.0000  0.0000
Re  0.0000  0.0000  0.0000
Sn  0.0000  0.5000  0.0000

Calculated formation energy = 1046 meV/atom
Magnetization = 0.00 μB/f.u.
Space group = P4/mmm (123)

AcSm2In | PBE-GGA | optimized geometry

a = 3.6800 Å, b = 3.6800 Å, c = 12.3745 Å
α = 81.45°, β = 81.45°, γ = 60.00°
Positions (direct):
In  0.5000  0.5000  0.5000
Sm  0.0996  0.0996  0.7013
Sm  0.9004  0.9004  0.2987
Ac  0.0000  0.0000  0.0000

Calculated formation energy = 40 meV/atom
ΔE to the lowest computed polymorph = 1.05 eV/f.u.
Magnetization = 0.00 μB/f.u.
Space group = R-3m (166)

ZnPdI2 | PBE-GGA | optimized geometry

a = 6.2993 Å, b = 6.2993 Å, c = 7.6244 Å
α = 65.60°, β = 65.60°, γ = 90.00°
Positions (direct):
I  0.8750  0.8726  0.7500
I  0.1274  0.6250  0.2500
I  0.6226  0.1250  0.2500
I  0.3750  0.3774  0.7500
Pd  0.7500  0.2500  0.5000
Pd  0.0000  0.0000  0.0000
Zn  0.2500  0.7500  0.5000
Zn  0.5000  0.5000  0.0000

ΔE to the lowest computed polymorph = 0.00 eV/f.u.
Magnetization = 0.00 μB/f.u.
Space group = I-42d (122)
Uncorrected formation energy = -0.1160 eV per atom

LiEuGdIr | PBE-GGA | optimized geometry

a = 5.0141 Å, b = 5.0141 Å, c = 5.0141 Å
α = 60.00°, β = 60.00°, γ = 60.00°
Positions (direct):
Eu  0.2500  0.2500  0.2500
Gd  0.7500  0.7500  0.7500
Ir  0.5000  0.5000  0.5000
Li  0.0000  0.0000  0.0000

Calculated formation energy = -372 meV/atom
Magnetization = 14.19 μB/f.u.
Space group = F-43m (216)

GaPb4I8 | PBE-GGA | optimized geometry

a = 9.7166 Å, b = 9.7166 Å, c = 9.7166 Å
α = 60.00°, β = 60.00°, γ = 60.00°
Positions (direct):
Pb  0.8858  0.3714  0.3714
Pb  0.3714  0.8858  0.3714
Pb  0.3714  0.3714  0.3714
Pb  0.3714  0.3714  0.8858
I  0.5978  0.1341  0.1341
I  0.1341  0.1341  0.1341
I  0.1341  0.5978  0.1341
I  0.6150  0.6150  0.1549
I  0.1341  0.1341  0.5978
I  0.6150  0.1549  0.6150
I  0.1549  0.6150  0.6150
I  0.6150  0.6150  0.6150
Ga  0.7500  0.7500  0.7500

Magnetization = 0.00 μB/f.u.
Space group = F-43m (216)
Uncorrected formation energy = -0.4791 eV per atom

Sr2Cd5Ag5 | PBE-GGA | optimized geometry

a = 4.7035 Å, b = 5.9249 Å, c = 10.3291 Å
α = 90.00°, β = 90.00°, γ = 90.00°
Positions (direct):
Cd  0.5000  0.0000  0.0000
Cd  0.0000  0.0000  0.8254
Cd  0.0000  0.5000  0.3341
Cd  0.0000  0.0000  0.1746
Cd  0.0000  0.5000  0.6659
Ag  0.5000  0.7473  0.7491
Ag  0.5000  0.2527  0.2509
Ag  0.5000  0.7473  0.2509
Ag  0.5000  0.2527  0.7491
Ag  0.5000  0.5000  0.5000
Sr  0.0000  0.0000  0.5000
Sr  0.0000  0.5000  0.0000

Calculated formation energy = -223 meV/atom
ΔE to the lowest computed polymorph = 0.11 eV/f.u.
Magnetization = 0.00 μB/f.u.
Space group = Pmmm (47)

BaReMo2 | PBE-GGA | optimized geometry

a = 6.0140 Å, b = 6.0140 Å, c = 6.0140 Å
α = 150.77°, β = 124.31°, γ = 64.14°
Positions (direct):
Re  0.7500  0.2500  0.5000
Mo  0.5474  0.5474  0.0000
Mo  0.9526  0.9526  0.0000
Ba  0.2500  0.7500  0.5000

Calculated formation energy = 1181 meV/atom
ΔE to the lowest computed polymorph = 1.74 eV/f.u.
Magnetization = 0.00 μB/f.u.
Space group = Immm (71)